<P>
The following is a DFT calculation (meta-GGA SCAN) of YRe2W at its PBEsol-relaxed geometry.

Structure (CIF):
```
data_YRe2W
_chemical_formula_sum 'Y1 Re2 W1'
_cell_length_a 3.116
_cell_length_b 3.116
_cell_length_c 7.242
_cell_angle_alpha 90.00
_cell_angle_beta 90.00
_cell_angle_gamma 90.00
_space_group_name_H-M_alt 'P 1'
_space_group_IT_number 1
_space_group_name_Hall 'P 1'
loop_
_atom_site_label
_atom_site_fract_x
_atom_site_fract_y
_atom_site_fract_z
_atom_site_occupancy
Y1 0.000 0.000 0.000 1
Re1 0.000 0.000 0.494 1
Re2 0.500 0.500 0.290 1
W1 0.500 0.500 0.705 1
```

Calculated values
The total moment is 0.0 μB per formula unit. The symmetry is P4mm (99). As for the density of states at the Fermi level: 2.8 states/eV/f.u.

<Q>
The following is a DFT calculation (meta-GGA SCAN) of YRe2W at its PBEsol-relaxed geometry.

Structure (CIF):
```
data_YRe2W
_chemical_formula_sum 'Y1 Re2 W1'
_cell_length_a 4.534
_cell_length_b 4.534
_cell_length_c 4.534
_cell_angle_alpha 60.00
_cell_angle_beta 60.00
_cell_angle_gamma 60.00
_space_group_name_H-M_alt 'P 1'
_space_group_IT_number 1
_space_group_name_Hall 'P 1'
loop_
_atom_site_label
_atom_site_fract_x
_atom_site_fract_y
_atom_site_fract_z
_atom_site_occupancy
Y1 0.000 0.000 0.000 1
Re1 0.250 0.250 0.250 1
Re2 0.500 0.500 0.500 1
W1 0.750 0.750 0.750 1
```

Calculated values
The total moment is 0.0 μB per formula unit. The symmetry is F-43m (216). As for the density of states at the Fermi level: 1.8 states/eV/f.u.

Which is the most stable structure? <P> is the most stable.

<P>
The following is a DFT calculation (meta-GGA SCAN) of YReW2 at its PBEsol-relaxed geometry.

Structure (CIF):
```
data_YReW2
_chemical_formula_sum 'Y1 Re1 W2'
_cell_length_a 4.578
_cell_length_b 4.578
_cell_length_c 4.578
_cell_angle_alpha 60.00
_cell_angle_beta 60.00
_cell_angle_gamma 60.00
_space_group_name_H-M_alt 'P 1'
_space_group_IT_number 1
_space_group_name_Hall 'P 1'
loop_
_atom_site_label
_atom_site_fract_x
_atom_site_fract_y
_atom_site_fract_z
_atom_site_occupancy
Y1 0.000 0.000 0.000 1
Re1 0.750 0.750 0.750 1
W1 0.250 0.250 0.250 1
W2 0.500 0.500 0.500 1
```

Calculated values
The total moment is 0.0 μB per formula unit. The symmetry is F-43m (216). As for the density of states at the Fermi level: 3.3 states/eV/f.u.

<Q>
The following is a DFT calculation (meta-GGA SCAN) of YReW2 at its PBEsol-relaxed geometry.

Structure (CIF):
```
data_YReW2
_chemical_formula_sum 'Y1 Re1 W2'
_cell_length_a 2.828
_cell_length_b 4.548
_cell_length_c 5.403
_cell_angle_alpha 90.00
_cell_angle_beta 100.87
_cell_angle_gamma 90.00
_space_group_name_H-M_alt 'P 1'
_space_group_IT_number 1
_space_group_name_Hall 'P 1'
loop_
_atom_site_label
_atom_site_fract_x
_atom_site_fract_y
_atom_site_fract_z
_atom_site_occupancy
Y1 0.000 0.000 0.000 1
Re1 0.500 0.000 0.500 1
W1 0.263 0.500 0.736 1
W2 0.737 0.500 0.264 1
```

Calculated values
The total moment is 0.0 μB per formula unit. The symmetry is P2/m (10). As for the density of states at the Fermi level: 3.0 states/eV/f.u.

Which is the most stable structure? <P> is the most stable.

<P>
The following is a DFT calculation (meta-GGA SCAN) of YZn2Re at its PBEsol-relaxed geometry.

Structure (CIF):
```
data_YZn2Re
_chemical_formula_sum 'Y1 Zn2 Re1'
_cell_length_a 3.375
_cell_length_b 3.375
_cell_length_c 5.927
_cell_angle_alpha 90.00
_cell_angle_beta 90.00
_cell_angle_gamma 90.00
_space_group_name_H-M_alt 'P 1'
_space_group_IT_number 1
_space_group_name_Hall 'P 1'
loop_
_atom_site_label
_atom_site_fract_x
_atom_site_fract_y
_atom_site_fract_z
_atom_site_occupancy
Y1 0.000 0.000 0.000 1
Zn1 0.500 0.500 0.295 1
Zn2 0.500 0.500 0.705 1
Re1 0.000 0.000 0.500 1
```

Calculated values
The total moment is 0.0 μB per formula unit. The symmetry is P4/mmm (123). As for the density of states at the Fermi level: 1.5 states/eV/f.u.

<Q>
The following is a DFT calculation (meta-GGA SCAN) of YZn2Re at its PBEsol-relaxed geometry.

Structure (CIF):
```
data_YZn2Re
_chemical_formula_sum 'Y1 Zn2 Re1'
_cell_length_a 2.896
_cell_length_b 2.896
_cell_length_c 7.907
_cell_angle_alpha 90.00
_cell_angle_beta 90.00
_cell_angle_gamma 90.00
_space_group_name_H-M_alt 'P 1'
_space_group_IT_number 1
_space_group_name_Hall 'P 1'
loop_
_atom_site_label
_atom_site_fract_x
_atom_site_fract_y
_atom_site_fract_z
_atom_site_occupancy
Y1 0.000 0.000 0.000 1
Zn1 0.500 0.500 0.280 1
Zn2 0.500 0.500 0.720 1
Re1 0.000 0.000 0.500 1
```

Calculated values
The total moment is 0.6 μB per formula unit. The symmetry is P4/mmm (123). As for the density of states at the Fermi level: 2.5 states/eV/f.u.

Which is the most stable structure? <P> is the most stable.

<P>
The following is a DFT calculation (meta-GGA SCAN) of ZnRe at its PBEsol-relaxed geometry.

Structure (CIF):
```
data_ZnRe
_chemical_formula_sum 'Zn2 Re2'
_cell_length_a 4.613
_cell_length_b 4.613
_cell_length_c 4.754
_cell_angle_alpha 96.76
_cell_angle_beta 96.76
_cell_angle_gamma 34.19
_space_group_name_H-M_alt 'P 1'
_space_group_IT_number 1
_space_group_name_Hall 'P 1'
loop_
_atom_site_label
_atom_site_fract_x
_atom_site_fract_y
_atom_site_fract_z
_atom_site_occupancy
Zn1 0.123 0.123 0.395 1
Zn2 0.877 0.877 0.605 1
Re1 0.374 0.374 0.104 1
Re2 0.626 0.626 0.896 1
```

Calculated values
The total moment is 0.0 μB per formula unit. The symmetry is C2/m (12). As for the density of states at the Fermi level: 1.1 states/eV/f.u.

<Q>
The following is a DFT calculation (meta-GGA SCAN) of ZnRe at its PBEsol-relaxed geometry.

Structure (CIF):
```
data_ZnRe
_chemical_formula_sum 'Zn2 Re2'
_cell_length_a 2.763
_cell_length_b 2.763
_cell_length_c 8.642
_cell_angle_alpha 90.00
_cell_angle_beta 90.00
_cell_angle_gamma 120.00
_space_group_name_H-M_alt 'P 1'
_space_group_IT_number 1
_space_group_name_Hall 'P 1'
loop_
_atom_site_label
_atom_site_fract_x
_atom_site_fract_y
_atom_site_fract_z
_atom_site_occupancy
Zn1 0.333 0.667 0.123 1
Zn2 0.667 0.333 0.877 1
Re1 0.333 0.667 0.620 1
Re2 0.667 0.333 0.380 1
```

Calculated values
The total moment is 0.0 μB per formula unit. The symmetry is P-3m1 (164). As for the density of states at the Fermi level: 1.0 states/eV/f.u.

Which is the most stable structure? <Q> is the most stable.

<P>
The following is a DFT calculation (meta-GGA SCAN) of ZnRe at its PBEsol-relaxed geometry.

Structure (CIF):
```
data_ZnRe
_chemical_formula_sum 'Zn2 Re2'
_cell_length_a 2.707
_cell_length_b 4.395
_cell_length_c 4.747
_cell_angle_alpha 90.00
_cell_angle_beta 90.00
_cell_angle_gamma 90.00
_space_group_name_H-M_alt 'P 1'
_space_group_IT_number 1
_space_group_name_Hall 'P 1'
loop_
_atom_site_label
_atom_site_fract_x
_atom_site_fract_y
_atom_site_fract_z
_atom_site_occupancy
Zn1 0.250 0.250 0.074 1
Zn2 0.750 0.750 0.926 1
Re1 0.250 0.750 0.418 1
Re2 0.750 0.250 0.582 1
```

Calculated values
The total moment is 0.0 μB per formula unit. The symmetry is Pmmn (59). As for the density of states at the Fermi level: 1.1 states/eV/f.u.

<Q>
The following is a DFT calculation (meta-GGA SCAN) of ZnRe at its PBEsol-relaxed geometry.

Structure (CIF):
```
data_ZnRe
_chemical_formula_sum 'Zn2 Re2'
_cell_length_a 8.942
_cell_length_b 8.942
_cell_length_c 8.942
_cell_angle_alpha 17.70
_cell_angle_beta 17.70
_cell_angle_gamma 17.70
_space_group_name_H-M_alt 'P 1'
_space_group_IT_number 1
_space_group_name_Hall 'P 1'
loop_
_atom_site_label
_atom_site_fract_x
_atom_site_fract_y
_atom_site_fract_z
_atom_site_occupancy
Zn1 0.124 0.124 0.124 1
Zn2 0.876 0.876 0.876 1
Re1 0.373 0.373 0.373 1
Re2 0.627 0.627 0.627 1
```

Calculated values
The total moment is 0.0 μB per formula unit. The symmetry is R-3m (166). As for the density of states at the Fermi level: 0.8 states/eV/f.u.

<R>
The following is a DFT calculation (meta-GGA SCAN) of ZnRe at its PBEsol-relaxed geometry.

Structure (CIF):
```
data_ZnRe
_chemical_formula_sum 'Zn1 Re1'
_cell_length_a 2.717
_cell_length_b 2.717
_cell_length_c 4.416
_cell_angle_alpha 90.00
_cell_angle_beta 90.00
_cell_angle_gamma 120.00
_space_group_name_H-M_alt 'P 1'
_space_group_IT_number 1
_space_group_name_Hall 'P 1'
loop_
_atom_site_label
_atom_site_fract_x
_atom_site_fract_y
_atom_site_fract_z
_atom_site_occupancy
Zn1 0.000 0.000 0.000 1
Re1 0.333 0.667 0.500 1
```

Calculated values
The total moment is 0.0 μB per formula unit. The symmetry is P-6m2 (187). As for the density of states at the Fermi level: 1.0 states/eV/f.u.

Which is the most stable structure? <Q> is the most stable.

<P>
The following is a DFT calculation (meta-GGA SCAN) of Zn3Re at its PBEsol-relaxed geometry.

Structure (CIF):
```
data_Zn3Re
_chemical_formula_sum 'Zn12 Re4'
_cell_length_a 4.574
_cell_length_b 8.823
_cell_length_c 5.508
_cell_angle_alpha 90.00
_cell_angle_beta 90.00
_cell_angle_gamma 90.00
_space_group_name_H-M_alt 'P 1'
_space_group_IT_number 1
_space_group_name_Hall 'P 1'
loop_
_atom_site_label
_atom_site_fract_x
_atom_site_fract_y
_atom_site_fract_z
_atom_site_occupancy
Zn1 0.112 0.250 0.143 1
Zn2 0.238 0.001 0.385 1
Zn3 0.238 0.499 0.385 1
Zn4 0.262 0.501 0.885 1
Zn5 0.262 0.999 0.885 1
Zn6 0.388 0.750 0.643 1
Zn7 0.612 0.250 0.357 1
Zn8 0.738 0.001 0.115 1
Zn9 0.738 0.499 0.115 1
Zn10 0.762 0.501 0.615 1
Zn11 0.762 0.999 0.615 1
Zn12 0.888 0.750 0.857 1
Re1 0.128 0.250 0.647 1
Re2 0.372 0.750 0.147 1
Re3 0.628 0.250 0.853 1
Re4 0.872 0.750 0.353 1
```

Calculated values
The total moment is 0.0 μB per formula unit. The symmetry is Pnma (62). As for the density of states at the Fermi level: 1.2 states/eV/f.u.

<Q>
The following is a DFT calculation (meta-GGA SCAN) of Zn3Re at its PBEsol-relaxed geometry.

Structure (CIF):
```
data_Zn3Re
_chemical_formula_sum 'Zn3 Re1'
_cell_length_a 4.849
_cell_length_b 4.849
_cell_length_c 4.849
_cell_angle_alpha 90.00
_cell_angle_beta 90.00
_cell_angle_gamma 90.00
_space_group_name_H-M_alt 'P 1'
_space_group_IT_number 1
_space_group_name_Hall 'P 1'
loop_
_atom_site_label
_atom_site_fract_x
_atom_site_fract_y
_atom_site_fract_z
_atom_site_occupancy
Zn1 0.000 0.000 0.500 1
Zn2 0.000 0.500 0.000 1
Zn3 0.500 0.000 0.000 1
Re1 0.000 0.000 0.000 1
```

Calculated values
The total moment is 2.2 μB per formula unit. The symmetry is Pm-3m (221). As for the density of states at the Fermi level: 2.2 states/eV/f.u.

Which is the most stable structure? <P> is the most stable.

<P>
The following is a DFT calculation (meta-GGA SCAN) of ZrZn2Re at its PBEsol-relaxed geometry.

Structure (CIF):
```
data_ZrZn2Re
_chemical_formula_sum 'Zr1 Zn2 Re1'
_cell_length_a 2.761
_cell_length_b 2.761
_cell_length_c 8.199
_cell_angle_alpha 90.00
_cell_angle_beta 90.00
_cell_angle_gamma 90.00
_space_group_name_H-M_alt 'P 1'
_space_group_IT_number 1
_space_group_name_Hall 'P 1'
loop_
_atom_site_label
_atom_site_fract_x
_atom_site_fract_y
_atom_site_fract_z
_atom_site_occupancy
Zr1 0.000 0.000 0.000 1
Zn1 0.000 0.000 0.511 1
Zn2 0.500 0.500 0.731 1
Re1 0.500 0.500 0.280 1
```

Calculated values
The total moment is 0.0 μB per formula unit. The symmetry is P4mm (99). As for the density of states at the Fermi level: 3.3 states/eV/f.u.

<Q>
The following is a DFT calculation (meta-GGA SCAN) of ZrZn2Re at its PBEsol-relaxed geometry.

Structure (CIF):
```
data_ZrZn2Re
_chemical_formula_sum 'Zr1 Zn2 Re1'
_cell_length_a 2.737
_cell_length_b 2.737
_cell_length_c 8.718
_cell_angle_alpha 90.00
_cell_angle_beta 90.00
_cell_angle_gamma 105.39
_space_group_name_H-M_alt 'P 1'
_space_group_IT_number 1
_space_group_name_Hall 'P 1'
loop_
_atom_site_label
_atom_site_fract_x
_atom_site_fract_y
_atom_site_fract_z
_atom_site_occupancy
Zr1 0.000 0.000 0.000 1
Zn1 0.000 0.000 0.501 1
Zn2 0.500 0.500 0.270 1
Re1 0.500 0.500 0.737 1
```

Calculated values
The total moment is 0.0 μB per formula unit. The symmetry is Cmm2 (35). As for the density of states at the Fermi level: 1.8 states/eV/f.u.

Which is the most stable structure? <Q> is the most stable.

<P>
The following is a DFT calculation (meta-GGA SCAN) of ZrZn2Re at its PBEsol-relaxed geometry.

Structure (CIF):
```
data_ZrZn2Re
_chemical_formula_sum 'Zr1 Zn2 Re1'
_cell_length_a 2.735
_cell_length_b 2.735
_cell_length_c 8.303
_cell_angle_alpha 90.00
_cell_angle_beta 90.00
_cell_angle_gamma 90.00
_space_group_name_H-M_alt 'P 1'
_space_group_IT_number 1
_space_group_name_Hall 'P 1'
loop_
_atom_site_label
_atom_site_fract_x
_atom_site_fract_y
_atom_site_fract_z
_atom_site_occupancy
Zr1 0.000 0.000 0.000 1
Zn1 0.500 0.500 0.267 1
Zn2 0.500 0.500 0.733 1
Re1 0.000 0.000 0.500 1
```

Calculated values
The total moment is 0.0 μB per formula unit. The symmetry is P4/mmm (123). As for the density of states at the Fermi level: 2.8 states/eV/f.u.

<Q>
The following is a DFT calculation (meta-GGA SCAN) of ZrZn2Re at its PBEsol-relaxed geometry.

Structure (CIF):
```
data_ZrZn2Re
_chemical_formula_sum 'Zr1 Zn2 Re1'
_cell_length_a 4.898
_cell_length_b 4.898
_cell_length_c 4.898
_cell_angle_alpha 133.66
_cell_angle_beta 132.29
_cell_angle_gamma 68.70
_space_group_name_H-M_alt 'P 1'
_space_group_IT_number 1
_space_group_name_Hall 'P 1'
loop_
_atom_site_label
_atom_site_fract_x
_atom_site_fract_y
_atom_site_fract_z
_atom_site_occupancy
Zr1 0.000 0.000 0.000 1
Zn1 0.251 0.751 0.500 1
Zn2 0.749 0.249 0.500 1
Re1 0.500 0.500 0.000 1
```

Calculated values
The total moment is 0.0 μB per formula unit. The symmetry is Immm (71). As for the density of states at the Fermi level: 1.0 states/eV/f.u.

Which is the most stable structure? <Q> is the most stable.